Crystalline CaTe2As at its relaxed geometry, computed with GGA-PBEsol.

Cell and atoms, written as POSCAR:
```
CaTe2As
1.0
-1.688 -3.194 1.898
1.303 -3.116 -4.084
4.430 2.167 3.199
As Te Ca
1 2 1
direct
0.500 0.000 0.000
0.795 0.795 0.590
0.205 0.205 0.410
0.000 0.500 0.000
```

Values from the calculation:
* total magnetization: 0.00 μB per atom
* N(E_F): 1.7 states/eV per cell
* SG: No. 71
* formation energy (no corrections): -225 kJ/mol of formula units

Crystalline Y2BeOsW at its relaxed geometry, computed with GGA-PBEsol.

Cell and atoms, written as POSCAR:
```
Y2BeOsW
1.0
-4.072 2.204 0.046
-1.096 -1.924 -4.799
-2.265 -4.231 2.214
Y Be Os W
2 1 1 1
direct
0.000 0.000 0.500
0.000 0.500 0.000
0.500 0.500 0.500
0.500 0.000 0.000
0.000 0.000 0.000
```

Values from the calculation:
* energy of formation: 1343 meV per atom
* total magnetization: 0.00 μB per atom
* N(E_F): 5.7 states/eV per cell
* SG: No. 123

Crystalline Be3HPd at its relaxed geometry, computed with GGA-PBEsol.

Cell and atoms, written as POSCAR:
```
Be3HPd
1.0
-0.998 -3.164 -0.894
2.956 -0.454 -1.691
1.439 -1.260 2.854
Be Pd H
3 1 1
direct
0.000 0.500 0.000
0.000 0.000 0.500
0.500 0.000 0.000
0.500 0.500 0.500
0.000 0.000 0.000
```

Values from the calculation:
* total magnetization: 0.00 μB per atom
* N(E_F): 0.7 states/eV per cell
* SG: No. 221
* E_tot: -4.436 eV per atom

Crystalline MnBe4Rh at its relaxed geometry, computed with GGA-PBEsol.

Cell and atoms, written as POSCAR:
```
MnBe4Rh
1.0
4.259 0.000 0.000
2.129 3.688 0.000
2.129 1.229 3.477
Be Mn Rh
4 1 1
direct
0.624 0.624 0.127
0.127 0.624 0.624
0.624 0.127 0.624
0.624 0.624 0.624
0.250 0.250 0.250
0.000 0.000 0.000
```

Values from the calculation:
* energy of formation: -375 meV per atom
* total magnetization: 0.52 μB per atom
* N(E_F): 2.2 states/eV per cell
* SG: No. 216

Crystalline Ba2CdP3O11 at its relaxed geometry, computed with GGA-PBEsol.

Cell and atoms, written as POSCAR:
```
Ba2CdP3O11
1.0
-5.312 -1.371 -1.020
0.792 -6.009 3.949
0.572 6.636 3.367
Ba Cd P O
2 1 3 11
direct
0.993 0.983 0.986
0.593 0.582 0.186
0.293 0.044 0.586
0.293 0.628 0.586
0.915 0.371 0.830
0.670 0.125 0.341
0.071 0.760 0.586
0.515 0.760 0.586
0.698 0.255 0.845
0.147 0.255 0.845
0.439 0.995 0.326
0.888 0.995 0.326
0.581 0.186 0.163
0.004 0.610 0.008
0.185 0.402 0.369
0.400 0.616 0.801
0.793 0.349 0.585
```

Values from the calculation:
* total magnetization: 0.06 μB per atom
* N(E_F): 9.7 states/eV per cell
* SG: No. 8
* formation energy (no corrections): -3900 kJ/mol of formula units

Crystalline AlFeCl at its relaxed geometry, computed with GGA-PBEsol.

Cell and atoms, written as POSCAR:
```
AlFeCl
1.0
-1.145 3.531 1.827
-2.691 -0.074 3.141
1.280 0.851 3.841
Fe Al Cl
1 1 1
direct
0.000 0.000 0.000
0.500 0.500 0.500
0.250 0.250 0.250
```

Values from the calculation:
* offset from the most stable computed form: 0.957 eV per atom
* total magnetization: 0.65 μB per atom
* N(E_F): 3.7 states/eV per cell
* SG: No. 216
* formation energy (no corrections): 260 kJ/mol of formula units

Crystalline Cr4TcRh at its relaxed geometry, computed with GGA-PBEsol.

Cell and atoms, written as POSCAR:
```
Cr4TcRh
1.0
-3.682 -2.634 1.150
0.057 -2.497 3.947
-2.727 1.236 3.585
Cr Rh Tc
4 1 1
direct
0.626 0.122 0.626
0.626 0.626 0.122
0.122 0.626 0.626
0.626 0.626 0.626
0.250 0.250 0.250
0.000 0.000 0.000
```

Values from the calculation:
* energy of formation: -6 meV per atom
* total magnetization: 0.00 μB per atom
* N(E_F): 5.4 states/eV per cell
* SG: No. 216

Crystalline NaGaTe2O6 at its relaxed geometry, computed with GGA-PBEsol.

Cell and atoms, written as POSCAR:
```
NaGaTe2O6
1.0
7.697 0.000 0.000
0.000 10.372 0.000
0.000 0.000 13.197
Na Ga Te O
8 8 16 48
direct
0.663 0.243 0.862
0.163 0.757 0.638
0.337 0.757 0.138
0.337 0.257 0.362
0.163 0.257 0.862
0.663 0.743 0.638
0.837 0.243 0.362
0.837 0.743 0.138
0.304 0.498 0.020
0.696 0.502 0.980
0.196 0.998 0.980
0.696 0.002 0.520
0.304 0.998 0.480
0.804 0.502 0.480
0.196 0.498 0.520
0.804 0.002 0.020
0.555 0.286 0.580
0.915 0.991 0.761
0.085 0.509 0.261
0.415 0.009 0.739
0.585 0.491 0.239
0.415 0.509 0.761
0.945 0.786 0.420
0.945 0.286 0.080
0.085 0.009 0.239
0.055 0.214 0.580
0.915 0.491 0.739
0.555 0.786 0.920
0.445 0.714 0.420
0.585 0.991 0.261
0.445 0.214 0.080
0.055 0.714 0.920
0.873 0.876 0.542
0.428 0.690 0.766
0.500 0.127 0.509
0.743 0.521 0.129
0.184 0.837 0.448
0.130 0.028 0.834
0.257 0.479 0.871
0.243 0.479 0.371
0.130 0.528 0.666
0.627 0.876 0.042
0.873 0.376 0.958
0.072 0.190 0.234
0.373 0.624 0.542
0.184 0.337 0.052
0.316 0.337 0.552
0.684 0.663 0.448
0.316 0.837 0.948
0.127 0.624 0.042
0.000 0.127 0.009
0.627 0.376 0.458
0.816 0.163 0.552
0.630 0.472 0.834
0.870 0.972 0.166
0.000 0.873 0.991
0.757 0.021 0.871
0.373 0.124 0.958
0.500 0.627 0.991
0.743 0.021 0.371
0.684 0.163 0.052
0.072 0.690 0.266
0.428 0.190 0.734
0.572 0.310 0.234
0.757 0.521 0.629
0.000 0.373 0.509
0.630 0.972 0.666
0.370 0.528 0.166
0.500 0.373 0.009
0.928 0.810 0.766
0.000 0.627 0.491
0.257 0.979 0.629
0.500 0.873 0.491
0.928 0.310 0.734
0.870 0.472 0.334
0.127 0.124 0.458
0.370 0.028 0.334
0.572 0.810 0.266
0.243 0.979 0.129
0.816 0.663 0.948
```

Values from the calculation:
* total magnetization: 0.00 μB per atom
* N(E_F): 0.0 states/eV per cell
* SG: No. 61
* formation energy (no corrections): -1365 kJ/mol of formula units